Entry 1:
Here is RbYF4 after structural relaxation from Alexandria. Energies are from PBE-GGA.

a b c (Å): 4.4322 6.4703 9.3684
angles (deg): 90.00 103.68 90.00
Atoms (fractional coordinates):
F 0.8298 0.4789 0.6595
F 0.8298 0.0211 0.6595
F 0.5821 0.7500 0.1641
F 0.0000 0.5000 0.0000
F 0.4179 0.2500 0.8359
F 0.1702 0.5211 0.3405
F 0.1702 0.9789 0.3405
F 0.0000 0.0000 0.0000
Y 0.9160 0.2500 0.8319
Y 0.0840 0.7500 0.1681
Rb 0.6923 0.2500 0.3847
Rb 0.3077 0.7500 0.6153

Values from the calculation:
The calculation puts the energy relative to the elements, uncorrected at -3.690 eV/atom. The electronic total energy comes out at -74.11 eV/cell. As for the symmetry: Cmcm, No. 63.



Entry 2:
Here is BeAg2Rh after structural relaxation from Alexandria. Energies are from PBE-GGA.

a b c (Å): 4.9192 4.9192 4.9192
angles (deg): 134.58 134.58 66.18
Atoms (fractional coordinates):
Ag 0.5000 0.5000 0.0000
Ag 0.0000 0.0000 0.0000
Be 0.2500 0.7500 0.5000
Rh 0.7500 0.2500 0.5000

Values from the calculation:
The electronic total energy comes out at -15.89 eV/cell. As for the symmetry: I4/mmm, No. 139.



Entry 3:
Here is AgSb3Cl after structural relaxation from Alexandria. Energies are from PBE-GGA.

a b c (Å): 5.3366 5.3366 5.3366
angles (deg): 90.00 90.00 90.00
Atoms (fractional coordinates):
Sb 0.0000 0.5000 0.0000
Sb 0.5000 0.0000 0.0000
Sb 0.0000 0.0000 0.5000
Cl 0.0000 0.0000 0.0000
Ag 0.5000 0.5000 0.5000

Values from the calculation:
The calculation puts the energy relative to the elements, uncorrected at 0.878 eV/atom. The electronic total energy comes out at -12.68 eV/cell. As for the symmetry: Pm-3m, No. 221. For the polymorph energy (0 for the lowest one), the calculation gives 0.276 eV per atom.



Entry 4:
Here is Ca6TlN3 after structural relaxation from Alexandria. Energies are from PBE-GGA.

a b c (Å): 3.6167 9.8358 13.4400
angles (deg): 104.10 90.00 90.00
Atoms (fractional coordinates):
Ca 0.7500 0.3768 0.0067
Ca 0.7500 0.9398 0.0845
Ca 0.2500 0.2435 0.1515
Ca 0.7500 0.5652 0.5963
Ca 0.2500 0.0602 0.9155
Ca 0.2500 0.4348 0.4037
Ca 0.7500 0.2127 0.5343
Ca 0.7500 0.7565 0.8485
Ca 0.2500 0.7873 0.4657
Ca 0.2500 0.6232 0.9933
Ca 0.2500 0.3972 0.7655
Ca 0.7500 0.6028 0.2345
Tl 0.2500 0.0270 0.3224
Tl 0.7500 0.9730 0.6776
N 0.7500 0.6031 0.4216
N 0.7500 0.5159 0.8740
N 0.7500 0.1556 0.0361
N 0.2500 0.8444 0.9639
N 0.2500 0.3969 0.5784
N 0.2500 0.4841 0.1260

Values from the calculation:
The calculation puts the energy relative to the elements, uncorrected at -0.668 eV/atom. The electronic total energy comes out at -92.07 eV/cell. As for the symmetry: P2_1/m, No. 11.